Entry from OQMD: an optimized crystal structure of MgSc2Tc (PBE).

Results
Calculated total energy (eV/atom): -5.88
Size of the total moment (μB/f.u.): 0.0
Crystal system: hexagonal

a = 4.524 Å, b = 4.524 Å, c = 9.230 Å
α = 90.00°, β = 90.00°, γ = 120.00°
Fractional coordinates of all 8 atoms:
Sc1 0.667 0.333 0.906
Sc2 0.333 0.667 0.406
Sc3 0.667 0.333 0.594
Sc4 0.333 0.667 0.094
Mg1 0.333 0.667 0.750
Mg2 0.667 0.333 0.250
Tc1 0.000 0.000 0.250
Tc2 0.000 0.000 0.750